(1)
# RbInGaSb2

A relaxed RbInGaSb2 crystal (GGA-PBE, Alexandria via LeMat-Bulk).

Results
N(E_F) = 2.25 states/eV/cell

Cell: 7.6559 7.6559 10.3419 Å, 97.15 97.15 39.18°
With the nearest neighbours (Å) after each atom.
Element x y z (fractional)
1 Rb 0.1641 0.1641 0.1817  6 Sb 3.76-4.08, 3 Ga 3.98-4.21, 1 In 4.14
2 Rb 0.8359 0.8359 0.8183  6 Sb 3.76-4.08, 3 Ga 3.98-4.21, 1 In 4.14
3 In 0.4495 0.4495 0.3000  4 Sb 2.94-3.02
4 In 0.5505 0.5505 0.7000  4 Sb 2.94-3.02
5 Ga 0.1660 0.1660 0.5666  4 Sb 2.75-2.86
6 Ga 0.8340 0.8340 0.4334  4 Sb 2.75-2.86
7 Sb 0.1182 0.1182 0.8153  1 Ga 2.75, 2 In 2.94
8 Sb 0.3628 0.3628 0.5507  3 Ga 2.85-2.86, 2 In 2.94-3.02
9 Sb 0.6372 0.6372 0.4493  3 Ga 2.85-2.86, 2 In 2.94-3.02
10 Sb 0.8818 0.8818 0.1847  1 Ga 2.75, 2 In 2.94

(2)
# Rb2In4Ga3Sn

A relaxed Rb2In4Ga3Sn crystal (GGA-PBE, Alexandria via LeMat-Bulk).

Results
N(E_F) = 3.90 states/eV/cell
DFT formation energy = -113 kJ/mol of formula units

Cell: 4.9035 4.9035 12.1506 Å, 90.00 90.00 90.00°
With the nearest neighbours (Å) after each atom.
Element x y z (fractional)
1 Rb 0.0000 0.5000 0.2472  8 In 3.72-3.88, 6 Ga 3.75-3.93, 2 Sn 3.93
2 Rb 0.5000 0.0000 0.7528  8 In 3.72-3.88, 6 Ga 3.75-3.93, 2 Sn 3.93
3 In 0.0000 0.0000 0.0000  4 Ga 2.91
4 In 0.0000 0.5000 0.6408  3 Ga 2.79-2.99, 2 Sn 2.99
5 In 0.5000 0.0000 0.3592  3 Ga 2.79-2.99, 2 Sn 2.99
6 In 0.5000 0.5000 0.0000  4 Ga 2.91
7 Ga 0.0000 0.5000 0.8707  5 In 2.79-2.91
8 Ga 0.5000 0.0000 0.1293  5 In 2.79-2.91
9 Ga 0.5000 0.5000 0.5000  4 In 2.99
10 Sn 0.0000 0.0000 0.5000  4 In 2.99

(3)
# RbInGa2Sn

A relaxed RbInGa2Sn crystal (GGA-PBE, Alexandria via LeMat-Bulk).

Results
N(E_F) = 1.71 states/eV/cell
DFT formation energy = -65 kJ/mol of formula units

Cell: 6.8139 6.8139 6.8139 Å, 138.07 137.14 61.51°
With the nearest neighbours (Å) after each atom.
Element x y z (fractional)
1 Rb 0.0000 0.0000 0.0000  8 Ga 3.70-3.95, 4 Sn 3.75, 4 In 3.77-3.89
2 In 0.2587 0.7587 0.5000  2 Ga 2.81, 2 Sn 2.99
3 Ga 0.3778 0.3778 0.0000  1 Sn 2.80, 2 In 2.81, 2 Ga 2.83
4 Ga 0.7623 0.2623 0.5000  2 Ga 2.83, 2 Sn 2.97
5 Sn 0.6173 0.6173 0.0000  3 Ga 2.80-2.97, 2 In 2.99

(4)
# RbInGa2Sn8

A relaxed RbInGa2Sn8 crystal (GGA-PBE, Alexandria via LeMat-Bulk).

Results
N(E_F) = 6.55 states/eV/cell
DFT formation energy = 48 kJ/mol of formula units

Cell: 10.3684 10.3684 10.3684 Å, 36.91 36.91 36.91°
With the nearest neighbours (Å) after each atom.
Element x y z (fractional)
1 Rb 0.0000 0.0000 0.0000  12 Sn 3.82-4.21, 6 Ga 4.01
2 In 0.5000 0.5000 0.5000  8 Sn 3.00-3.24
3 Ga 0.2881 0.2881 0.2881  4 Sn 2.89-3.13
4 Ga 0.7119 0.7119 0.7119  4 Sn 2.89-3.13
5 Sn 0.0194 0.4304 0.8979  1 Ga 2.89, 3 Sn 3.05-3.17
6 Sn 0.1021 0.9806 0.5696  1 Ga 2.89, 3 Sn 3.05-3.17
7 Sn 0.3964 0.3964 0.3964  1 In 3.00, 1 Ga 3.13, 3 Sn 3.27
8 Sn 0.4304 0.8979 0.0194  1 Ga 2.89, 3 Sn 3.05-3.17
9 Sn 0.5696 0.1021 0.9806  1 Ga 2.89, 3 Sn 3.05-3.17
10 Sn 0.6036 0.6036 0.6036  1 In 3.00, 1 Ga 3.13, 3 Sn 3.27
11 Sn 0.8979 0.0194 0.4304  1 Ga 2.89, 3 Sn 3.05-3.17
12 Sn 0.9806 0.5696 0.1021  1 Ga 2.89, 3 Sn 3.05-3.17

(5)
# Rb2In6GaSn

A relaxed Rb2In6GaSn crystal (GGA-PBE, Alexandria via LeMat-Bulk).

Results
N(E_F) = 9.42 states/eV/cell
DFT formation energy = -17 kJ/mol of formula units

Cell: 14.5181 14.5181 14.5181 Å, 30.23 30.23 30.23°
With the nearest neighbours (Å) after each atom.
Element x y z (fractional)
1 Rb 0.1027 0.1027 0.1027  12 In 4.08-4.24, 1 Ga 4.27, 3 Sn 4.40
2 Rb 0.2750 0.2750 0.2750  12 In 3.80-4.04
3 Rb 0.7250 0.7250 0.7250  12 In 3.80-4.04
4 Rb 0.8973 0.8973 0.8973  12 In 4.08-4.24, 1 Ga 4.27, 3 Sn 4.40
5 In 0.0836 0.6658 0.6658  1 Ga 2.80
6 In 0.2235 0.2235 0.6309  1 Ga 2.81, 2 In 3.08
7 In 0.2235 0.6309 0.2235  1 Ga 2.81, 2 In 3.08
8 In 0.3342 0.3342 0.9164  1 Ga 2.80
9 In 0.3342 0.9164 0.3342  1 Ga 2.80
10 In 0.3691 0.7765 0.7765  1 Ga 2.81, 2 In 3.08
11 In 0.6309 0.2235 0.2235  1 Ga 2.81, 2 In 3.08
12 In 0.6658 0.0836 0.6658  1 Ga 2.80
13 In 0.6658 0.6658 0.0836  1 Ga 2.80
14 In 0.7765 0.3691 0.7765  1 Ga 2.81, 2 In 3.08
15 In 0.7765 0.7765 0.3691  1 Ga 2.81, 2 In 3.08
16 In 0.9164 0.3342 0.3342  1 Ga 2.80
17 Ga 0.0000 0.0000 0.0000  6 In 2.81
18 Ga 0.5000 0.5000 0.5000  6 In 2.80, 2 Sn 3.13
19 Sn 0.4245 0.4245 0.4245  1 Ga 3.13, 6 In 3.21-3.24
20 Sn 0.5755 0.5755 0.5755  1 Ga 3.13, 6 In 3.21-3.24

(6)
# RbIn2GaTc

A relaxed RbIn2GaTc crystal (GGA-PBE, Alexandria via LeMat-Bulk).

Results
N(E_F) = 3.65 states/eV/cell
DFT formation energy = -9 kJ/mol of formula units

Cell: 5.3047 5.3047 4.9898 Å, 90.00 90.00 90.00°
With the nearest neighbours (Å) after each atom.
Element x y z (fractional)
1 Rb 0.0000 0.0000 0.0000  8 In 3.64, 4 Ga 3.75
2 In 0.0000 0.5000 0.5000  2 Tc 2.65
3 In 0.5000 0.0000 0.5000  2 Tc 2.65
4 Ga 0.5000 0.5000 0.0000  2 Tc 2.49
5 Tc 0.5000 0.5000 0.5000  2 Ga 2.49, 4 In 2.65

(7)
# Rb2InGaTe4

A relaxed Rb2InGaTe4 crystal (GGA-PBE, Alexandria via LeMat-Bulk).

Cell: 15.0843 13.4126 8.4593 Å, 83.95 62.16 33.90°
With the nearest neighbours (Å) after each atom.
Element x y z (fractional)
1 Rb 0.0599 0.0599 0.6901  8 Te 3.94-4.26
2 Rb 0.3099 0.3099 0.9401  8 Te 3.94-4.26
3 Rb 0.6901 0.6901 0.0599  8 Te 3.94-4.26
4 Rb 0.9401 0.9401 0.3099  8 Te 3.94-4.26
5 In 0.1250 0.1250 0.1250  4 Te 2.82
6 In 0.8750 0.8750 0.8750  4 Te 2.82
7 Ga 0.3750 0.3750 0.3750  4 Te 2.69
8 Ga 0.6250 0.6250 0.6250  4 Te 2.69
9 Te 0.0174 0.3479 0.4314  1 Ga 2.69, 1 In 2.82
10 Te 0.2966 0.5686 0.6521  1 Ga 2.69, 1 In 2.82
11 Te 0.3479 0.0174 0.7034  1 Ga 2.69, 1 In 2.82
12 Te 0.4314 0.7034 0.0174  1 Ga 2.69, 1 In 2.82
13 Te 0.5686 0.2966 0.9826  1 Ga 2.69, 1 In 2.82
14 Te 0.6521 0.9826 0.2966  1 Ga 2.69, 1 In 2.82
15 Te 0.7034 0.4314 0.3479  1 Ga 2.69, 1 In 2.82
16 Te 0.9826 0.6521 0.5686  1 Ga 2.69, 1 In 2.82

(8)
# RbInGaTe4

A relaxed RbInGaTe4 crystal (GGA-PBE, Alexandria via LeMat-Bulk).

Results
N(E_F) = 3.19 states/eV/cell

Cell: 7.3365 7.2883 10.8788 Å, 90.00 104.24 90.00°
With the nearest neighbours (Å) after each atom.
Element x y z (fractional)
1 Rb 0.2160 0.2500 0.0474  8 Te 3.82-4.19, 1 In 4.11
2 Rb 0.7840 0.7500 0.9526  8 Te 3.82-4.19, 1 In 4.11
3 In 0.3028 0.2500 0.6887  4 Te 2.83-2.86
4 In 0.6972 0.7500 0.3113  4 Te 2.83-2.86
5 Ga 0.2054 0.7500 0.3069  4 Te 2.65-2.70
6 Ga 0.7946 0.2500 0.6931  4 Te 2.65-2.70
7 Te 0.0395 0.5227 0.7131  1 Ga 2.65, 1 In 2.83
8 Te 0.0395 0.9773 0.7131  1 Ga 2.65, 1 In 2.83
9 Te 0.3655 0.7500 0.1120  1 Ga 2.66, 1 In 2.83
10 Te 0.4953 0.2500 0.4903  1 Ga 2.70, 1 In 2.86
11 Te 0.5047 0.7500 0.5097  1 Ga 2.70, 1 In 2.86
12 Te 0.6345 0.2500 0.8880  1 Ga 2.66, 1 In 2.83
13 Te 0.9605 0.0227 0.2869  1 Ga 2.65, 1 In 2.83
14 Te 0.9605 0.4773 0.2869  1 Ga 2.65, 1 In 2.83

(9)
# RbTlIn2Ga

A relaxed RbTlIn2Ga crystal (GGA-PBE, Alexandria via LeMat-Bulk).

Results
N(E_F) = 4.41 states/eV/cell
DFT formation energy = 53 kJ/mol of formula units

Cell: 5.6634 5.6634 5.7451 Å, 90.00 90.00 90.00°
With the nearest neighbours (Å) after each atom.
Element x y z (fractional)
1 Rb 0.0000 0.0000 0.0000  4 Tl 4.00, 8 In 4.03
2 Tl 0.5000 0.5000 0.0000  2 Ga 2.87
3 In 0.0000 0.5000 0.5000  2 Ga 2.83
4 In 0.5000 0.0000 0.5000  2 Ga 2.83
5 Ga 0.5000 0.5000 0.5000  4 In 2.83, 2 Tl 2.87

(10)
# Rb2TlIn6Ga

A relaxed Rb2TlIn6Ga crystal (GGA-PBE, Alexandria via LeMat-Bulk).

Results
N(E_F) = 10.53 states/eV/cell
DFT formation energy = -2 kJ/mol of formula units

Cell: 14.8391 14.8391 14.8391 Å, 29.49 29.49 29.49°
With the nearest neighbours (Å) after each atom.
Element x y z (fractional)
1 Rb 0.1016 0.1016 0.1016  12 In 4.12-4.32, 1 Ga 4.32, 3 Tl 4.39
2 Rb 0.2747 0.2747 0.2747  12 In 3.88-4.05
3 Rb 0.7253 0.7253 0.7253  12 In 3.88-4.05
4 Rb 0.8984 0.8984 0.8984  12 In 4.12-4.32, 1 Ga 4.32, 3 Tl 4.39
5 Tl 0.4243 0.4243 0.4243  1 Ga 3.22, 6 In 3.29-3.30
6 Tl 0.5757 0.5757 0.5757  1 Ga 3.22, 6 In 3.29-3.30
7 In 0.0812 0.6685 0.6685  1 Ga 2.81, 2 In 3.12
8 In 0.2227 0.2227 0.6312  1 Ga 2.80, 2 In 3.09
9 In 0.2227 0.6312 0.2227  1 Ga 2.80, 2 In 3.09
10 In 0.3315 0.3315 0.9188  1 Ga 2.81, 2 In 3.12
11 In 0.3315 0.9188 0.3315  1 Ga 2.81, 2 In 3.12
12 In 0.3688 0.7773 0.7773  1 Ga 2.80, 2 In 3.09
13 In 0.6312 0.2227 0.2227  1 Ga 2.80, 2 In 3.09
14 In 0.6685 0.0812 0.6685  1 Ga 2.81, 2 In 3.12
15 In 0.6685 0.6685 0.0812  1 Ga 2.81, 2 In 3.12
16 In 0.7773 0.3688 0.7773  1 Ga 2.80, 2 In 3.09
17 In 0.7773 0.7773 0.3688  1 Ga 2.80, 2 In 3.09
18 In 0.9188 0.3315 0.3315  1 Ga 2.81, 2 In 3.12
19 Ga 0.0000 0.0000 0.0000  6 In 2.80
20 Ga 0.5000 0.5000 0.5000  6 In 2.81

(11)
# Rb2Tl6InGa

A relaxed Rb2Tl6InGa crystal (GGA-PBE, Alexandria via LeMat-Bulk).

Results
N(E_F) = 13.12 states/eV/cell
DFT formation energy = -4 kJ/mol of formula units

Cell: 14.4650 14.4650 14.4650 Å, 31.55 31.55 31.55°
With the nearest neighbours (Å) after each atom.
Element x y z (fractional)
1 Rb 0.1045 0.1045 0.1045  12 Tl 4.09-4.26, 1 Ga 4.30, 3 In 4.57
2 Rb 0.2775 0.2775 0.2775  12 Tl 3.85-4.11
3 Rb 0.7225 0.7225 0.7225  12 Tl 3.85-4.11
4 Rb 0.8955 0.8955 0.8955  12 Tl 4.09-4.26, 1 Ga 4.30, 3 In 4.57
5 Tl 0.0866 0.6617 0.6617  1 Ga 2.89, 1 In 3.21
6 Tl 0.2212 0.2212 0.6425  1 Ga 2.87
7 Tl 0.2212 0.6425 0.2212  1 Ga 2.87
8 Tl 0.3383 0.3383 0.9134  1 Ga 2.89, 1 In 3.21
9 Tl 0.3383 0.9134 0.3383  1 Ga 2.89, 1 In 3.21
10 Tl 0.3575 0.7788 0.7788  1 Ga 2.87
11 Tl 0.6425 0.2212 0.2212  1 Ga 2.87
12 Tl 0.6617 0.0866 0.6617  1 Ga 2.89, 1 In 3.21
13 Tl 0.6617 0.6617 0.0866  1 Ga 2.89, 1 In 3.21
14 Tl 0.7788 0.3575 0.7788  1 Ga 2.87
15 Tl 0.7788 0.7788 0.3575  1 Ga 2.87
16 Tl 0.9134 0.3383 0.3383  1 Ga 2.89, 1 In 3.21
17 In 0.4248 0.4248 0.4248  1 Ga 3.10, 6 Tl 3.21-3.23
18 In 0.5752 0.5752 0.5752  1 Ga 3.10, 6 Tl 3.21-3.23
19 Ga 0.0000 0.0000 0.0000  6 Tl 2.87
20 Ga 0.5000 0.5000 0.5000  6 Tl 2.89, 2 In 3.10

(12)
# RbVIn2Ga

A relaxed RbVIn2Ga crystal (GGA-PBE, Alexandria via LeMat-Bulk).

Results
N(E_F) = 11.42 states/eV/cell
DFT formation energy = 570 kJ/mol of formula units

Cell: 5.4780 5.4780 6.0980 Å, 90.00 90.00 90.00°
With the nearest neighbours (Å) after each atom.
Element x y z (fractional)
1 Rb 0.0000 0.0000 0.0000  2 Ga 3.05
2 V 0.5000 0.5000 0.0000  4 Rb 3.87, 8 In 4.10
3 In 0.0000 0.5000 0.5000  2 Ga 2.74
4 In 0.5000 0.0000 0.5000  2 Ga 2.74
5 Ga 0.0000 0.0000 0.5000  4 In 2.74, 2 Rb 3.05

| no. | calculated total energy (eV/atom) |
| --- | --- |
| 1 | -3.22 |
| 2 | -2.71 |
| 3 | -2.89 |
| 4 | -3.44 |
| 5 | -2.56 |
| 6 | -3.99 |
| 7 | -3.20 |
| 8 | -3.20 |
| 9 | -2.26 |
| 10 | -2.38 |
| 11 | -2.19 |
| 12 | -2.54 |